# 1
The following is a PBE-GGA calculation of crystalline Pt2Br2F at its relaxed geometry, from Alexandria.

Results
- Mass density: 9.8 g/cm³
- Energy above the lowest structure with this stoichiometry: 0.154 eV per atom
- N(E_F): 1.32 states/eV per atom
- Electronic total energy: -0.2253 Ry/atom
- E_form (uncorrected): 0.395 eV per atom

```
data_Pt2Br2F
_chemical_formula_sum 'Pt4 Br4 F2'
_cell_length_a 7.624
_cell_length_b 7.624
_cell_length_c 3.307
_cell_angle_alpha 90.00
_cell_angle_beta 90.00
_cell_angle_gamma 90.00
_symmetry_space_group_name_H-M 'P 4/m b m'
_symmetry_Int_Tables_number 127
_symmetry_space_group_name_Hall '-P 4 2ab'
loop_
_atom_site_label
_atom_site_type_symbol
_atom_site_fract_x
_atom_site_fract_y
_atom_site_fract_z
Pt1 Pt 0.120 0.380 0.000
Br1 Br 0.204 0.704 0.500
F1 F 0.000 0.000 0.500
```

---

# 2
The following is a PBE-GGA calculation of crystalline Ca5Pt7 at its relaxed geometry, from Alexandria.

Results
- Mass density: 10.7 g/cm³
- Energy above the lowest structure with this stoichiometry: 0.081 eV per atom
- N(E_F): 0.40 states/eV per atom
- Electronic total energy: -0.3663 Ry/atom
- DFT formation energy: -0.63 eV/atom

```
data_Ca5Pt7
_chemical_formula_sum 'Ca10 Pt14'
_cell_length_a 5.273
_cell_length_b 9.487
_cell_length_c 9.938
_cell_angle_alpha 90.00
_cell_angle_beta 102.79
_cell_angle_gamma 90.00
_symmetry_space_group_name_H-M 'C 1 2/m 1'
_symmetry_Int_Tables_number 12
_symmetry_space_group_name_Hall '-C 2y'
loop_
_atom_site_label
_atom_site_type_symbol
_atom_site_fract_x
_atom_site_fract_y
_atom_site_fract_z
Ca1 Ca 0.000 0.000 0.000
Ca2 Ca 0.000 0.325 0.500
Ca3 Ca 0.068 0.500 0.216
Pt1 Pt 0.000 0.000 0.500
Pt2 Pt 0.000 0.284 0.000
Pt3 Pt 0.065 0.157 0.266
```

---

# 3
The following is a PBE-GGA calculation of crystalline MgCr2W at its relaxed geometry, from Alexandria.

Results
- Mass density: 9.0 g/cm³
- Energy above the lowest structure with this stoichiometry: 0.220 eV per atom
- N(E_F): 0.83 states/eV per atom
- Electronic total energy: -0.5807 Ry/atom
- DFT formation energy: 0.55 eV/atom

```
data_MgCr2W
_chemical_formula_sum 'Mg1 Cr2 W1'
_cell_length_a 2.553
_cell_length_b 4.340
_cell_length_c 5.220
_cell_angle_alpha 90.00
_cell_angle_beta 90.00
_cell_angle_gamma 90.00
_symmetry_space_group_name_H-M 'P m m 2'
_symmetry_Int_Tables_number 25
_symmetry_space_group_name_Hall 'P 2 -2'
loop_
_atom_site_label
_atom_site_type_symbol
_atom_site_fract_x
_atom_site_fract_y
_atom_site_fract_z
Mg1 Mg 0.000 0.000 0.000
Cr1 Cr 0.000 0.000 0.510
Cr2 Cr 0.500 0.500 0.756
W1 W 0.500 0.500 0.272
```

---

# 4
The following is a PBE-GGA calculation of crystalline Tl12AgBi6 at its relaxed geometry, from Alexandria.

Results
- Mass density: 10.3 g/cm³
- N(E_F): 0.38 states/eV per atom
- Electronic total energy: -0.2101 Ry/atom
- DFT formation energy: 0.01 eV/atom

```
data_Tl12AgBi6
_chemical_formula_sum 'Tl36 Ag3 Bi18'
_cell_length_a 11.9601
_cell_length_b 11.9601
_cell_length_c 14.9149
_cell_angle_alpha 90.00
_cell_angle_beta 90.00
_cell_angle_gamma 120.00
_symmetry_space_group_name_H-M 'R -3'
_symmetry_Int_Tables_number 148
_symmetry_space_group_name_Hall '-R 3'
loop_
_atom_site_label
_atom_site_type_symbol
_atom_site_fract_x
_atom_site_fract_y
_atom_site_fract_z
Tl1 Tl 0.0439 0.1820 0.3063
Tl2 Tl 0.0652 0.8407 0.9162
Ag1 Ag 0.0000 0.0000 0.5000
Bi1 Bi 0.0494 0.4477 0.2092
```

---

# 5
The following is a PBE-GGA calculation of crystalline AlZn2Hg at its relaxed geometry, from Alexandria.

Results
- Mass density: 7.7 g/cm³
- Energy above the lowest structure with this stoichiometry: 0.013 eV per atom
- N(E_F): 0.30 states/eV per atom
- Electronic total energy: -0.1122 Ry/atom
- DFT formation energy: 0.12 eV/atom

```
data_AlZn2Hg
_chemical_formula_sum 'Al1 Zn2 Hg1'
_cell_length_a 3.386
_cell_length_b 4.650
_cell_length_c 5.065
_cell_angle_alpha 90.00
_cell_angle_beta 104.85
_cell_angle_gamma 90.00
_symmetry_space_group_name_H-M 'P 1 m 1'
_symmetry_Int_Tables_number 6
_symmetry_space_group_name_Hall 'P -2y'
loop_
_atom_site_label
_atom_site_type_symbol
_atom_site_fract_x
_atom_site_fract_y
_atom_site_fract_z
Al1 Al 0.000 0.000 0.000
Zn1 Zn 0.338 0.000 0.578
Zn2 Zn 0.507 0.500 0.839
Hg1 Hg 0.155 0.500 0.296
```

---

# 6
The following is a PBE-GGA calculation of crystalline SmHoTmCu at its relaxed geometry, from Alexandria.

Results
- Mass density: 8.7 g/cm³
- N(E_F): 1.13 states/eV per atom
- Electronic total energy: -0.3364 Ry/atom
- DFT formation energy: -0.11 eV/atom

```
data_SmHoTmCu
_chemical_formula_sum 'Sm1 Ho1 Tm1 Cu1'
_cell_length_a 3.476
_cell_length_b 3.476
_cell_length_c 8.685
_cell_angle_alpha 90.00
_cell_angle_beta 90.00
_cell_angle_gamma 90.00
_symmetry_space_group_name_H-M 'P 4 m m'
_symmetry_Int_Tables_number 99
_symmetry_space_group_name_Hall 'P 4 -2'
loop_
_atom_site_label
_atom_site_type_symbol
_atom_site_fract_x
_atom_site_fract_y
_atom_site_fract_z
Sm1 Sm 0.000 0.000 0.000
Ho1 Ho 0.500 0.500 0.692
Tm1 Tm 0.500 0.500 0.305
Cu1 Cu 0.000 0.000 0.493
```

---

# 7
The following is a PBE-GGA calculation of crystalline LaTl2Pb at its relaxed geometry, from Alexandria.

Results
- Mass density: 10.2 g/cm³
- N(E_F): 0.50 states/eV per atom
- Electronic total energy: -0.2618 Ry/atom
- DFT formation energy: -0.22 eV/atom

```
data_LaTl2Pb
_chemical_formula_sum 'La1 Tl2 Pb1'
_cell_length_a 4.077
_cell_length_b 4.077
_cell_length_c 7.400
_cell_angle_alpha 90.00
_cell_angle_beta 90.00
_cell_angle_gamma 90.00
_symmetry_space_group_name_H-M 'P 4 m m'
_symmetry_Int_Tables_number 99
_symmetry_space_group_name_Hall 'P 4 -2'
loop_
_atom_site_label
_atom_site_type_symbol
_atom_site_fract_x
_atom_site_fract_y
_atom_site_fract_z
La1 La 0.000 0.000 0.000
Tl1 Tl 0.000 0.000 0.505
Tl2 Tl 0.500 0.500 0.737
Pb1 Pb 0.500 0.500 0.271
```

---

# 8
The following is a PBE-GGA calculation of crystalline Tc2AgTe at its relaxed geometry, from Alexandria.

Results
- Mass density: 9.7 g/cm³
- N(E_F): 0.71 states/eV per atom
- Electronic total energy: -0.4603 Ry/atom
- E_form (uncorrected): 0.418 eV per atom

```
data_Tc2AgTe
_chemical_formula_sum 'Tc6 Ag3 Te3'
_cell_length_a 2.9395
_cell_length_b 2.9395
_cell_length_c 29.4899
_cell_angle_alpha 90.00
_cell_angle_beta 90.00
_cell_angle_gamma 120.00
_symmetry_space_group_name_H-M 'R 3 m'
_symmetry_Int_Tables_number 160
_symmetry_space_group_name_Hall 'R 3 -2"'
loop_
_atom_site_label
_atom_site_type_symbol
_atom_site_fract_x
_atom_site_fract_y
_atom_site_fract_z
Tc1 Tc 0.0000 0.0000 0.0000
Tc2 Tc 0.0000 0.0000 0.2664
Ag1 Ag 0.0000 0.0000 0.5176
Te1 Te 0.0000 0.0000 0.7501
```